[1]
DFT (GGA-PBE) results for a relaxed Pr2Y8In crystal.

Values from the calculation:
Space-group type: C2/m, No. 12
Energy above the most stable polymorph in this dataset (meV/atom): 0.0

```
Pr2Y8In
1.0
9.7949 -2.8006 0.0000
9.7949 2.8006 0.0000
-0.5454 0.0000 6.5064
Pr Y In
2 8 1
Direct
0.2434 0.2434 0.3352
0.7566 0.7566 0.6648
0.0433 0.0433 0.2638
0.1517 0.1517 0.8113
0.3402 0.3402 0.8771
0.4224 0.4224 0.4009
0.5776 0.5776 0.5991
0.6598 0.6598 0.1229
0.8483 0.8483 0.1887
0.9567 0.9567 0.7362
0.5000 0.5000 0.0000
```



[2]
DFT (GGA-PBE) results for a relaxed Pr3YIn3 crystal.

Values from the calculation:
Space-group type: P2_13, No. 198
Energy above the most stable polymorph in this dataset (meV/atom): 0.0

```
Pr3YIn3
1.0
9.5884 0.0000 0.0000
0.0000 9.5884 0.0000
0.0000 0.0000 9.5884
Pr Y In
12 4 12
Direct
0.0690 0.4310 0.5690
0.1700 0.8300 0.3300
0.1768 0.1768 0.1768
0.3232 0.8232 0.6768
0.3300 0.1700 0.8300
0.4310 0.5690 0.0690
0.5690 0.0690 0.4310
0.6700 0.6700 0.6700
0.6768 0.3232 0.8232
0.8232 0.6768 0.3232
0.8300 0.3300 0.1700
0.9310 0.9310 0.9310
0.0761 0.5761 0.9239
0.4239 0.4239 0.4239
0.5761 0.9239 0.0761
0.9239 0.0761 0.5761
0.0044 0.2555 0.8671
0.1329 0.5044 0.2445
0.2445 0.1329 0.5044
0.2555 0.8671 0.0044
0.3671 0.4956 0.7445
0.4956 0.7445 0.3671
0.5044 0.2445 0.1329
0.6329 0.9956 0.7555
0.7445 0.3671 0.4956
0.7555 0.6329 0.9956
0.8671 0.0044 0.2555
0.9956 0.7555 0.6329
```



[3]
DFT (GGA-PBE) results for a relaxed Pr4Y9In11 crystal.

Values from the calculation:
Space-group type: Cmmm, No. 65

```
Pr4Y9In11
1.0
8.1038 -11.7904 0.0000
8.1038 11.7904 0.0000
0.0000 0.0000 3.5027
Pr Y In
4 9 11
Direct
0.0953 0.2578 0.0000
0.2578 0.0953 0.0000
0.7422 0.9047 0.0000
0.9047 0.7422 0.0000
0.0000 0.0000 0.0000
0.1110 0.6665 0.0000
0.2966 0.4927 0.0000
0.3335 0.8890 0.0000
0.4927 0.2966 0.0000
0.5073 0.7034 0.0000
0.6665 0.1110 0.0000
0.7034 0.5073 0.0000
0.8890 0.3335 0.0000
0.0905 0.4617 0.5000
0.1213 0.8787 0.5000
0.3053 0.3053 0.5000
0.3100 0.6900 0.5000
0.4617 0.0905 0.5000
0.5000 0.5000 0.5000
0.5383 0.9095 0.5000
0.6900 0.3100 0.5000
0.6947 0.6947 0.5000
0.8787 0.1213 0.5000
0.9095 0.5383 0.5000
```



[4]
DFT (GGA-PBE) results for a relaxed Pr3Y2In4 crystal.

Values from the calculation:
Space-group type: C2/m, No. 12

```
Pr3Y2In4
1.0
4.6807 -2.7053 0.0000
4.6807 2.7053 0.0000
-0.0140 0.0000 10.4128
Pr Y In
3 2 4
Direct
0.0000 0.0000 0.0000
0.3334 0.3334 0.5788
0.6666 0.6666 0.4212
0.3330 0.3330 0.2200
0.6670 0.6670 0.7800
0.9998 0.9998 0.3445
0.0002 0.0002 0.6555
0.3336 0.3336 0.8997
0.6664 0.6664 0.1003
```



[5]
DFT (GGA-PBE) results for a relaxed Pr3YIn12 crystal.

Values from the calculation:
Space-group type: P4/mmm, No. 123

```
Pr3YIn12
1.0
4.7121 0.0000 0.0000
0.0000 4.7121 0.0000
0.0000 0.0000 18.9195
Pr Y In
3 1 12
Direct
0.0000 0.0000 0.0000
0.0000 0.0000 0.2530
0.0000 0.0000 0.7470
0.0000 0.0000 0.5000
0.0000 0.5000 0.1263
0.0000 0.5000 0.3788
0.0000 0.5000 0.6212
0.0000 0.5000 0.8737
0.5000 0.0000 0.1263
0.5000 0.0000 0.3788
0.5000 0.0000 0.6212
0.5000 0.0000 0.8737
0.5000 0.5000 0.0000
0.5000 0.5000 0.2511
0.5000 0.5000 0.5000
0.5000 0.5000 0.7489
```



[6]
DFT (GGA-PBE) results for a relaxed Pr4YIn2 crystal.

Values from the calculation:
Space-group type: P4_2/mnm, No. 136
Energy above the most stable polymorph in this dataset (meV/atom): 143.5

```
Pr4YIn2
1.0
9.2930 0.0000 0.0000
0.0000 9.2930 0.0000
0.0000 0.0000 5.6042
Pr Y In
8 2 4
Direct
0.0753 0.3235 0.0000
0.1765 0.5753 0.5000
0.3235 0.0753 0.0000
0.4247 0.8235 0.5000
0.5753 0.1765 0.5000
0.6765 0.9247 0.0000
0.8235 0.4247 0.5000
0.9247 0.6765 0.0000
0.0000 0.0000 0.5000
0.5000 0.5000 0.0000
0.2372 0.2372 0.5000
0.2628 0.7372 0.0000
0.7372 0.2628 0.0000
0.7628 0.7628 0.5000
```



[7]
DFT (GGA-PBE) results for a relaxed PrY3In crystal.

Values from the calculation:
Space-group type: Cmcm, No. 63
Energy above the most stable polymorph in this dataset (meV/atom): 0.0

```
PrY3In
1.0
2.4627 -12.6377 0.0000
2.4627 12.6377 0.0000
0.0000 0.0000 4.9087
Pr Y In
2 6 2
Direct
0.1487 0.8513 0.7500
0.8513 0.1487 0.2500
0.0486 0.9514 0.2500
0.2503 0.7497 0.2500
0.4471 0.5529 0.2500
0.5529 0.4471 0.7500
0.7497 0.2503 0.7500
0.9514 0.0486 0.7500
0.3460 0.6540 0.7500
0.6540 0.3460 0.2500
```



[8]
DFT (GGA-PBE) results for a relaxed PrYIn3 crystal.

Values from the calculation:
Space-group type: Cmcm, No. 63
Energy above the most stable polymorph in this dataset (meV/atom): 0.0

```
PrYIn3
1.0
1.8859 -14.8296 0.0000
1.8859 14.8296 0.0000
0.0000 0.0000 4.9247
Pr Y In
2 2 6
Direct
0.0744 0.9256 0.7500
0.9256 0.0744 0.2500
0.2127 0.7873 0.2500
0.7873 0.2127 0.7500
0.3204 0.6796 0.2500
0.3774 0.6226 0.7500
0.4752 0.5248 0.7500
0.5248 0.4752 0.2500
0.6226 0.3774 0.2500
0.6796 0.3204 0.7500
```



no.,electronic total energy (eV/cell),V (Å³ per atom),calculated density (Mg/m³)
1,-64.66,32.451,5.154
2,-125.70,31.484,6.450
3,-117.55,27.889,6.517
4,-42.04,29.300,6.674
5,-60.96,26.255,7.469
6,-63.70,34.570,6.054
7,-55.60,30.555,5.679
8,-43.61,27.546,6.924